No. 1
# NaLiB12

A geometry-optimized NaLiB12 structure (PBE, Alexandria via LeMat-Bulk).

Energy = -83.4 eV/cell
Density of states at the Fermi level = 0.0894 states/eV/atom
Mass density = 1.85 g/cm3
M_tot = 0.0 Bohr magnetons per cell

Unit cell a=4.1509 b=4.1509 c=8.3085 alpha=90.00 beta=90.00 gamma=90.00
Closest atoms and distances in Å follow each position.
Atoms (fractional coordinates):
B (0.8024, 0.5000, 0.7511)  5 B 1.64-1.78
B (0.8024, 0.5000, 0.2489)  5 B 1.64-1.78
B (0.5000, 0.5000, 0.9018)  5 B 1.63-1.77
B (0.5000, 0.5000, 0.0982)  5 B 1.63-1.77
B (0.1976, 0.5000, 0.7511)  5 B 1.64-1.78
B (0.5000, 0.8024, 0.2489)  5 B 1.64-1.78
B (0.5000, 0.1976, 0.7511)  5 B 1.64-1.78
B (0.5000, 0.5000, 0.5992)  5 B 1.65-1.78
B (0.5000, 0.1976, 0.2489)  5 B 1.64-1.78
B (0.5000, 0.5000, 0.4008)  5 B 1.65-1.78
B (0.1976, 0.5000, 0.2489)  5 B 1.64-1.78
B (0.5000, 0.8024, 0.7511)  5 B 1.64-1.78
Na (0.0000, 0.0000, 0.5000)  24 B 3.05
Li (0.0000, 0.0000, 0.0000)  24 B 3.04-3.05



No. 2
# NaLiB2

A geometry-optimized NaLiB2 structure (PBE, Alexandria via LeMat-Bulk).

Energy = -29.3 eV/cell
Density of states at the Fermi level = 0.1934 states/eV/atom
Mass density = 1.81 g/cm3
M_tot = 0.0 Bohr magnetons per cell

Unit cell a=3.4057 b=3.4057 c=8.5206 alpha=78.47 beta=78.47 gamma=90.00
Closest atoms and distances in Å follow each position.
Atoms (fractional coordinates):
Li (0.5000, 0.5000, 0.0000)  4 B 2.21, 4 Na 2.41
Li (0.2500, 0.7500, 0.5000)  4 B 2.21, 4 Na 2.41
B (0.3750, 0.6251, 0.7500)  2 B 1.70
B (0.8750, 0.6249, 0.7500)  2 B 1.70
B (0.3749, 0.1250, 0.2500)  2 B 1.70
B (0.3751, 0.6250, 0.2500)  2 B 1.70
Na (0.7500, 0.2500, 0.5000)  4 Li 2.41
Na (0.0000, 0.0000, 0.0000)  4 Li 2.41